Entry 1:
Below is Sr2CrFe after structural relaxation, with properties calculated at the GGA-PBE level.

Calculated values
ΔE_f ... 0.722 eV/atom
Calculated total energy ... -4.641 eV/atom
Relative energy among the computed polymorphs ... 166 meV per atom

a = 11.5505 Å, b = 11.5505 Å, c = 4.3522 Å
α = 90.00°, β = 90.00°, γ = 90.00°
Closest atoms and distances in Å follow each position.
Space group I-42d (No. 122)
Unique sites:
Sr 0.0678 0.2500 0.1250 x8  2 Fe 3.04
Cr 0.0000 0.0000 0.5000 x4  2 Fe 2.18
Fe 0.0000 0.0000 0.0000 x4  2 Cr 2.18


Entry 2:
Below is CdHgMo2 after structural relaxation, with properties calculated at the GGA-PBE level.

Calculated values
ΔE_f ... 0.517 eV/atom
Calculated total energy ... -5.202 eV/atom
Relative energy among the computed polymorphs ... 206 meV per atom

a = 2.7845 Å, b = 4.3339 Å, c = 6.0448 Å
α = 90.00°, β = 90.00°, γ = 90.00°
Closest atoms and distances in Å follow each position.
Space group Pmm2 (No. 25)
Unique sites:
Cd 0.0000 0.0000 0.0000 x1  2 Cd 2.78, 5 Mo 2.85-3.05, 4 Hg 3.00
Hg 0.5000 0.5000 0.2557 x1  2 Hg 2.78, 5 Mo 2.87-3.06, 4 Cd 3.00
Mo 0.0000 0.0000 0.5281 x1  6 Mo 2.78-2.85, 1 Cd 2.85, 4 Hg 3.06
Mo 0.5000 0.5000 0.7311 x1  6 Mo 2.78-2.85, 1 Hg 2.87, 4 Cd 3.05


Entry 3:
Below is PrErAsS after structural relaxation, with properties calculated at the GGA-PBE level.

Calculated values
Calculated total energy ... -6.211 eV/atom
Raw formation energy ... -649 kJ/mol of formula units

a = 4.0155 Å, b = 4.0155 Å, c = 21.2958 Å
α = 90.00°, β = 90.00°, γ = 120.00°
Closest atoms and distances in Å follow each position.
Space group R3m (No. 160, hexagonal axes)
Unique sites:
Pr 0.0000 0.0000 0.0000 x3  3 As 2.96, 3 S 3.06
Er 0.0000 0.0000 0.1728 x3  3 As 2.80, 3 S 2.87
As 0.0000 0.0000 0.5801 x3  3 Er 2.80, 3 Pr 2.96
S 0.0000 0.0000 0.7601 x3  3 Er 2.87, 3 Pr 3.06


Entry 4:
Below is ScSiRh2 after structural relaxation, with properties calculated at the GGA-PBE level.

Calculated values
Calculated total energy ... -7.062 eV/atom
Raw formation energy ... -173 kJ/mol of formula units

a = 6.2676 Å, b = 6.2676 Å, c = 6.2676 Å
α = 90.00°, β = 90.00°, γ = 90.00°
Closest atoms and distances in Å follow each position.
Space group F-43m (No. 216)
Unique sites:
Sc 0.0000 0.0000 0.0000 x4  4 Rh 2.71, 4 Si 2.71
Si 0.2500 0.2500 0.7500 x4  4 Sc 2.71, 4 Rh 2.71
Rh 0.0000 0.0000 0.5000 x4  4 Rh 2.71, 4 Si 2.71
Rh 0.2500 0.2500 0.2500 x4  4 Sc 2.71, 4 Rh 2.71


Entry 5:
Below is LiAcZnGe after structural relaxation, with properties calculated at the GGA-PBE level.

Calculated values
ΔE_f ... -0.351 eV/atom
Calculated total energy ... -3.330 eV/atom

a = 7.3211 Å, b = 7.3211 Å, c = 7.3211 Å
α = 90.00°, β = 90.00°, γ = 90.00°
Closest atoms and distances in Å follow each position.
Space group F-43m (No. 216)
Unique sites:
Li 0.0000 0.0000 0.0000 x4  4 Ge 3.17, 4 Zn 3.17
Ac 0.0000 0.0000 0.5000 x4  4 Zn 3.17, 4 Ge 3.17
Zn 0.2500 0.2500 0.7500 x4  4 Ac 3.17, 4 Li 3.17
Ge 0.2500 0.2500 0.2500 x4  4 Ac 3.17, 4 Li 3.17


Entry 6:
Below is Ca2Al4Zn3Cu after structural relaxation, with properties calculated at the GGA-PBE level.

Calculated values
ΔE_f ... -0.242 eV/atom
Calculated total energy ... -2.931 eV/atom

a = 4.2163 Å, b = 4.2163 Å, c = 10.9083 Å
α = 90.00°, β = 90.00°, γ = 90.00°
Closest atoms and distances in Å follow each position.
Space group P-4m2 (No. 115)
Unique sites:
Ca 0.0000 0.5000 0.2432 x2  6 Zn 3.23-3.39, 8 Al 3.25-3.51, 2 Cu 3.39
Al 0.0000 0.0000 0.5000 x1  4 Zn 2.62
Al 0.0000 0.5000 0.8750 x2  2 Cu 2.51, 3 Zn 2.51-2.54
Al 0.5000 0.5000 0.5000 x1  4 Zn 2.62
Zn 0.0000 0.0000 0.0000 x1  4 Al 2.51
Zn 0.0000 0.5000 0.6425 x2  5 Al 2.54-2.62
Cu 0.5000 0.5000 0.0000 x1  4 Al 2.51